# CaSmIn2

A PBEsol-optimized structure of CaSmIn2 (SCAN, Alexandria).

Its formation energy from the elements is -0.6258 eV/atom. The calculation puts the density at 6.5 g/cm³. As for the crystal system: cubic. As for the density of states at the Fermi level: 8.30 states/eV per cell. For the calculated total energy, the calculation gives -30.85 eV/atom.

The structure belongs to space group Fm-3m (No. 225); the cell edges are 7.5422, 7.5422 and 7.5422 Å and the angles 90.00°, 90.00° and 90.00°. The distinct sites, in fractional coordinates, are Ca at (0.0000, 0.0000, 0.0000), Sm at (0.0000, 0.0000, 0.5000) and In at (0.2500, 0.2500, 0.2500).